Below is crystalline Ba2CaPbF at its relaxed geometry, with properties calculated at the PBE-GGA level.

Properties
Space group   P4/mmm, No. 123
Uncorrected formation energy   -1300.0 meV per atom

```
5
Lattice="-5.3103 -1.9265 0.8426 1.9391 -5.3719 -0.0618 0.7171 0.2016 4.9807" Properties=species:S:1:pos:R:3 pbc="T T T"
Pb -1.3271 -3.5484 2.8808
Ba 0.9695 -2.6859 -0.0309
Ba -2.6552 -0.9633 0.4213
Ca 0.3586 0.1008 2.4904
F 0.0000 0.0000 0.0000
```